one:
Material: Nd5Dy2Ho3
Method: DFT, PBE
State: optimized geometry

a = 9.4341 Å, b = 13.6919 Å, c = 10.9762 Å
α = 90.00°, β = 90.00°, γ = 90.00°
Space group Ibam (No. 72)
Asymmetric unit:
Nd 0.0000 0.0000 0.2500 (multiplicity 4)
Nd 0.0000 0.2533 0.2500 (multiplicity 8)
Nd 0.1037 0.1289 0.0000 (multiplicity 8)
Dy 0.0880 0.3805 0.5000 (multiplicity 8)
Ho 0.0000 0.5000 0.2500 (multiplicity 4)
Ho 0.2488 0.1235 0.5000 (multiplicity 8)

two:
Material: Nd5Dy2Ho3
Method: DFT, PBE
State: optimized geometry

a = 10.7260 Å, b = 14.8917 Å, c = 10.0390 Å
α = 90.00°, β = 122.26°, γ = 90.00°
Space group C2/c (No. 15)
Asymmetric unit:
Nd 0.0000 0.0188 0.2500 (multiplicity 4)
Nd 0.0000 0.2286 0.2500 (multiplicity 4)
Nd 0.0000 0.4785 0.7500 (multiplicity 4)
Nd 0.2466 0.3702 0.2417 (multiplicity 8)
Dy 0.1522 0.1285 0.0574 (multiplicity 8)
Ho 0.0000 0.2725 0.7500 (multiplicity 4)
Ho 0.1547 0.3747 0.5572 (multiplicity 8)

What should be chosen as the most stable of them? Choose two.

one:
Material: Nd2Dy5Ho2
Method: DFT, PBE
State: optimized geometry

a = 14.9120 Å, b = 11.7927 Å, c = 6.7330 Å
α = 90.00°, β = 90.00°, γ = 90.00°
Space group Ima2 (No. 46)
Asymmetric unit:
Nd 0.1268 0.0010 0.0000 (multiplicity 8)
Dy 0.0524 0.2470 0.3517 (multiplicity 8)
Dy 0.1432 0.7351 0.1738 (multiplicity 8)
Dy 0.2500 0.2454 0.1496 (multiplicity 4)
Ho 0.0000 0.0000 0.5405 (multiplicity 4)
Ho 0.2500 0.5111 0.9524 (multiplicity 4)

two:
Material: Nd2Dy5Ho2
Method: DFT, PBE
State: optimized geometry

a = 21.6884 Å, b = 3.4931 Å, c = 8.2078 Å
α = 90.00°, β = 99.75°, γ = 90.00°
Space group C2/m (No. 12)
Asymmetric unit:
Nd 0.1808 0.0000 0.1453 (multiplicity 4)
Dy 0.0000 0.0000 0.0000 (multiplicity 2)
Dy 0.0953 0.0000 0.7338 (multiplicity 4)
Dy 0.1905 0.5000 0.5312 (multiplicity 4)
Ho 0.0472 0.5000 0.3559 (multiplicity 4)

What should be chosen as the most stable of them? Choose one.